1.
## KCo2Ru (PBE)

Data for an optimized crystal structure of KCo2Ru. Values from VASP.

## Properties
energy above the most stable polymorph in this dataset	263	meV per atom
formation energy	0.954	eV per atom

Structure (Quantum ESPRESSO input):
```
&SYSTEM
  ibrav = 0, nat = 4, ntyp = 3
/
ATOMIC_SPECIES
Co 58.93 Co.upf
K 39.10 K.upf
Ru 101.07 Ru.upf
CELL_PARAMETERS angstrom
5.834 -0.023 0.089
3.039 4.980 -0.089
-3.628 -3.927 2.338
ATOMIC_POSITIONS crystal
Co 0.007 0.007 0.000
Co 0.206 0.706 0.500
K 0.495 0.495 0.000
Ru 0.792 0.292 0.500
```

2.
## TbTm2CrN4 (PBE)

Data for an optimized crystal structure of TbTm2CrN4. Values from VASP.

## Properties
formation energy (no corrections)	-1.3023	eV per atom

Structure (Quantum ESPRESSO input):
```
&SYSTEM
  ibrav = 0, nat = 16, ntyp = 4
/
ATOMIC_SPECIES
Tb 158.93 Tb.upf
Tm 168.93 Tm.upf
Cr 52.00 Cr.upf
N 14.01 N.upf
CELL_PARAMETERS angstrom
3.338 0.000 0.000
-1.669 5.645 0.000
0.000 0.000 11.460
ATOMIC_POSITIONS crystal
Tb 0.106 0.212 0.750
Tb 0.894 0.788 0.250
Tm 0.369 0.738 0.543
Tm 0.631 0.262 0.043
Tm 0.631 0.262 0.457
Tm 0.369 0.738 0.957
Cr 0.841 0.683 0.750
Cr 0.159 0.317 0.250
N 0.266 0.532 0.128
N 0.734 0.468 0.628
N 0.734 0.468 0.872
N 0.266 0.532 0.372
N 0.000 0.000 0.500
N 0.000 0.000 0.000
N 0.434 0.868 0.750
N 0.566 0.132 0.250
```

3.
## PtW2C (PBE)

Data for an optimized crystal structure of PtW2C. Values from VASP.

## Properties
formation energy	0.700	eV per atom

Structure (Quantum ESPRESSO input):
```
&SYSTEM
  ibrav = 0, nat = 8, ntyp = 3
/
ATOMIC_SPECIES
C 12.01 C.upf
W 183.84 W.upf
Pt 195.08 Pt.upf
CELL_PARAMETERS angstrom
-1.243 2.233 -4.173
3.720 -2.207 -2.289
-2.181 -4.374 -4.560
ATOMIC_POSITIONS crystal
C 0.500 0.500 0.000
C 0.250 0.750 0.500
W 0.530 0.125 0.250
W 0.220 0.625 0.250
W 0.375 0.470 0.750
W 0.875 0.780 0.750
Pt 0.000 0.000 0.000
Pt 0.750 0.250 0.500
```

4.
## Er2MgRu (PBE)

Data for an optimized crystal structure of Er2MgRu. Values from VASP.

## Properties
formation energy	-0.329	eV per atom

Structure (Quantum ESPRESSO input):
```
&SYSTEM
  ibrav = 0, nat = 4, ntyp = 3
/
ATOMIC_SPECIES
Ru 101.07 Ru.upf
Mg 24.30 Mg.upf
Er 167.26 Er.upf
CELL_PARAMETERS angstrom
-2.261 -2.136 1.409
2.547 -1.702 1.507
-0.565 4.824 6.403
ATOMIC_POSITIONS crystal
Ru 0.500 0.500 0.000
Mg 0.500 0.500 0.500
Er 0.000 0.000 0.797
Er 0.000 0.000 0.203
```

5.
## MgBeIn2 (PBE)

Data for an optimized crystal structure of MgBeIn2. Values from VASP.

## Properties
energy above the most stable polymorph in this dataset	85	meV per atom
formation energy	0.314	eV per atom

Structure (Quantum ESPRESSO input):
```
&SYSTEM
  ibrav = 0, nat = 4, ntyp = 3
/
ATOMIC_SPECIES
Be 9.01 Be.upf
Mg 24.30 Mg.upf
In 114.82 In.upf
CELL_PARAMETERS angstrom
3.382 0.000 0.000
0.000 4.168 0.000
0.000 0.000 5.852
ATOMIC_POSITIONS crystal
Be 0.500 0.500 0.757
Mg 0.000 0.000 0.506
In 0.000 0.000 0.975
In 0.500 0.500 0.262
```

6.
## MnTl2Zn (PBE)

Data for an optimized crystal structure of MnTl2Zn. Values from VASP.

## Properties
energy above the most stable polymorph in this dataset	70	meV per atom
formation energy	0.331	eV per atom

Structure (Quantum ESPRESSO input):
```
&SYSTEM
  ibrav = 0, nat = 4, ntyp = 3
/
ATOMIC_SPECIES
Mn 54.94 Mn.upf
Tl 204.38 Tl.upf
Zn 65.41 Zn.upf
CELL_PARAMETERS angstrom
-0.410 -4.662 8.281
-2.980 -6.100 6.663
0.148 -7.227 6.183
ATOMIC_POSITIONS crystal
Mn 0.759 0.759 0.759
Tl 0.011 0.011 0.011
Tl 0.240 0.240 0.240
Zn 0.489 0.489 0.489
```

What did we get for M_tot? Answer: 3.989 3.815 0.000 0.000 0.000 3.943 μB/cell, in the order shown.